# Tb4Dy11Sc9 PBE-GGA optimized geometry
# **Formation energy from the elements**: 7.14 kJ per mole of atoms
data_Tb4Dy11Sc9
_chemical_formula_sum 'Tb8 Dy22 Sc18'
_cell_length_a 15.777
_cell_length_b 25.392
_cell_length_c 3.489
_cell_angle_alpha 90.00
_cell_angle_beta 90.00
_cell_angle_gamma 90.00
_space_group_name_H-M_alt 'C m m m'
_space_group_IT_number 65
_space_group_name_Hall '-C 2 2'
loop_
_atom_site_label
_atom_site_fract_x
_atom_site_fract_y
_atom_site_fract_z
_atom_site_occupancy
Tb1 0.172 0.089 0.000 1
Dy1 0.000 0.123 0.500 1
Dy2 0.000 0.312 0.500 1
Dy3 0.000 0.500 0.500 1
Dy4 0.209 0.500 0.500 1
Dy5 0.220 0.314 0.500 1
Sc1 0.000 0.000 0.000 1
Sc2 0.105 0.218 0.000 1
Sc3 0.109 0.406 0.000 1